No. 1
CaSO6 | PBE | relaxed

## Properties
- raw total energy (eV per cell) = -96.483
- ΔE to the lowest computed polymorph (eV/atom) = 0.000
- space group = No. 15
- raw formation energy (eV/atom) = -1.55

a = 11.194 Å, b = 6.813 Å, c = 11.371 Å
α = 72.57°, β = 73.41°, γ = 17.59°
Fractional coordinates of all 16 atoms:
1 Ca 0.250 0.813 0.374
2 Ca 0.750 0.187 0.626
3 S 0.750 0.679 0.642
4 S 0.250 0.321 0.358
5 O 0.643 0.059 0.562
6 O 0.857 0.379 0.562
7 O 0.357 0.941 0.438
8 O 0.143 0.621 0.438
9 O 0.403 0.128 0.717
10 O 0.097 0.155 0.717
11 O 0.597 0.872 0.283
12 O 0.903 0.845 0.283
13 O 0.870 0.365 0.032
14 O 0.630 0.604 0.032
15 O 0.130 0.635 0.968
16 O 0.370 0.396 0.968

---

No. 2
CaS2O | PBE | relaxed

## Properties
- raw total energy (eV per cell) = -12.250
- space group = No. 166
- raw formation energy (eV/atom) = 0.74

a = 7.971 Å, b = 7.971 Å, c = 7.971 Å
α = 25.57°, β = 25.57°, γ = 25.57°
Fractional coordinates of all 4 atoms:
1 Ca 0.000 0.000 0.000
2 S 0.887 0.887 0.887
3 S 0.113 0.113 0.113
4 O 0.500 0.500 0.500